{
  "formula": "PaHg2Pt3O12",
  "functional": "PBE-GGA",
  "state": "relaxed",
  "energy_ev_per_atom": -5.6591,
  "raw_formation_energy_ev_per_atom": -0.786,
  "vol_a3_per_atom": 12.96,
  "dos_at_fermi_per_ev_cell": 9.4,
  "lattice": [[-4.397, 3.916, 3.057], [-6.323, -1.691, -1.079], [-2.961, -2.832, 5.218]],
  "species": ["Pa", "Hg", "Hg", "Pt", "Pt", "Pt", "O", "O", "O", "O", "O", "O", "O", "O", "O", "O", "O", "O"],
  "fractional_positions": [[0.000, 0.000, 0.000], [0.612, 0.612, 0.612], [0.388, 0.388, 0.388], [0.500, 0.000, 0.000], [0.000, 0.500, 0.000], [0.000, 0.000, 0.500], [0.257, 0.257, 0.865], [0.853, 0.853, 0.411], [0.411, 0.853, 0.853], [0.865, 0.257, 0.257], [0.853, 0.411, 0.853], [0.257, 0.865, 0.257], [0.743, 0.743, 0.135], [0.147, 0.147, 0.589], [0.589, 0.147, 0.147], [0.135, 0.743, 0.743], [0.147, 0.589, 0.147], [0.743, 0.135, 0.743]]
}

{
  "formula": "AcTb3Nd3",
  "functional": "PBE-GGA",
  "state": "relaxed",
  "de_polymorph_kcal_per_mol_atoms": 1.94,
  "energy_ev_per_atom": -4.4912,
  "vol_a3_per_atom": 36.01,
  "dos_at_fermi_per_ev_cell": 40.8,
  "e_form_ev_per_atom": 0.1235,
  "lattice": [[4.595, -4.197, -11.623], [-4.346, -9.191, 8.394], [-6.180, 11.646, 0.146]],
  "species": ["Ac", "Ac", "Ac", "Ac", "Tb", "Tb", "Tb", "Tb", "Tb", "Tb", "Tb", "Tb", "Tb", "Tb", "Tb", "Tb", "Nd", "Nd", "Nd", "Nd", "Nd", "Nd", "Nd", "Nd", "Nd", "Nd", "Nd", "Nd"],
  "fractional_positions": [[0.013, 0.828, 0.013], [0.413, 0.414, 0.413], [0.829, 0.013, 0.014], [0.014, 0.013, 0.829], [0.526, 0.791, 0.526], [0.443, 0.186, 0.003], [0.003, 0.443, 0.186], [0.186, 0.003, 0.443], [0.757, 0.757, 0.228], [0.757, 0.229, 0.757], [0.186, 0.443, 0.003], [0.443, 0.003, 0.186], [0.525, 0.525, 0.790], [0.003, 0.186, 0.443], [0.228, 0.757, 0.757], [0.790, 0.525, 0.525], [0.239, 0.777, 0.239], [0.709, 0.445, 0.972], [0.551, 0.551, 0.277], [0.445, 0.972, 0.709], [0.551, 0.277, 0.551], [0.445, 0.709, 0.972], [0.972, 0.709, 0.445], [0.277, 0.551, 0.551], [0.777, 0.239, 0.239], [0.239, 0.239, 0.777], [0.709, 0.972, 0.445], [0.972, 0.445, 0.709]]
}

{
  "formula": "MnNb6Os",
  "functional": "PBE-GGA",
  "state": "relaxed",
  "energy_ev_per_atom": -10.2237,
  "vol_a3_per_atom": 16.87,
  "dos_at_fermi_per_ev_cell": 4.7,
  "e_form_ev_per_atom": -0.1215,
  "lattice": [[4.356, 0.000, 1.312], [-0.395, 4.338, 1.312], [0.188, 0.205, 7.266]],
  "species": ["Mn", "Nb", "Nb", "Nb", "Nb", "Nb", "Nb", "Os"],
  "fractional_positions": [[0.500, 0.500, 0.000], [0.749, 0.749, 0.502], [0.620, 0.120, 0.760], [0.120, 0.620, 0.760], [0.380, 0.880, 0.240], [0.251, 0.251, 0.498], [0.880, 0.380, 0.240], [0.000, 0.000, 0.000]]
}

{
  "formula": "K2LaRu",
  "functional": "PBE-GGA",
  "state": "relaxed",
  "de_polymorph_kcal_per_mol_atoms": 19.39,
  "energy_ev_per_atom": -3.0336,
  "vol_a3_per_atom": 33.30,
  "dos_at_fermi_per_ev_cell": 5.5,
  "e_form_ev_per_atom": 1.0659,
  "lattice": [[13.258, -0.057, -0.033], [12.831, 3.342, -0.033], [12.831, 1.615, 2.925]],
  "species": ["K", "K", "La", "Ru"],
  "fractional_positions": [[0.015, 0.015, 0.015], [0.485, 0.485, 0.485], [0.250, 0.250, 0.250], [0.750, 0.750, 0.750]]
}

{
  "formula": "TmZn3Au",
  "functional": "PBE-GGA",
  "state": "relaxed",
  "de_polymorph_kcal_per_mol_atoms": 0.84,
  "energy_ev_per_atom": -2.6970,
  "vol_a3_per_atom": 18.00,
  "dos_at_fermi_per_ev_cell": 1.9,
  "e_form_ev_per_atom": -0.3828,
  "lattice": [[4.613, 0.213, 1.792], [0.254, 4.611, 1.792], [0.477, 0.473, 4.594]],
  "species": ["Tm", "Zn", "Zn", "Zn", "Au"],
  "fractional_positions": [[0.598, 0.598, 0.801], [0.301, 0.907, 0.295], [0.907, 0.301, 0.295], [0.895, 0.895, 0.009], [0.299, 0.299, 0.598]]
}

{
  "formula": "Na2VPbBr8",
  "functional": "PBE-GGA",
  "state": "relaxed",
  "energy_ev_per_atom": -3.4027,
  "raw_formation_energy_ev_per_atom": -0.999,
  "vol_a3_per_atom": 32.54,
  "dos_at_fermi_per_ev_cell": 6.7,
  "lattice": [[6.938, -0.146, -0.004], [-0.128, 6.546, -0.007], [0.005, 0.010, 8.601]],
  "species": ["Na", "Na", "V", "Pb", "Br", "Br", "Br", "Br", "Br", "Br", "Br", "Br"],
  "fractional_positions": [[0.500, 0.500, 0.756], [0.500, 0.500, 0.244], [0.000, 0.000, 0.000], [0.000, 0.000, 0.500], [0.139, 0.778, 0.208], [0.697, 0.780, 0.000], [0.861, 0.222, 0.208], [0.861, 0.222, 0.792], [0.303, 0.220, 0.000], [0.139, 0.778, 0.792], [0.655, 0.731, 0.500], [0.345, 0.269, 0.500]]
}

{
  "formula": "CsTcAgI6",
  "functional": "PBE-GGA",
  "state": "relaxed",
  "energy_ev_per_atom": -3.0094,
  "raw_formation_energy_ev_per_atom": -0.413,
  "vol_a3_per_atom": 48.03,
  "dos_at_fermi_per_ev_cell": 1.9,
  "lattice": [[-2.056, -7.312, -0.844], [3.705, -5.479, 3.828], [-5.514, 0.801, 6.482]],
  "species": ["Cs", "Tc", "Ag", "I", "I", "I", "I", "I", "I"],
  "fractional_positions": [[0.000, 0.000, 0.000], [0.333, 0.333, 0.500], [0.667, 0.667, 0.500], [0.029, 0.356, 0.313], [0.356, 0.029, 0.687], [0.615, 0.356, 0.687], [0.029, 0.615, 0.687], [0.356, 0.615, 0.313], [0.615, 0.029, 0.313]]
}

{
  "formula": "Rb2HfPtI6",
  "functional": "PBE-GGA",
  "state": "relaxed",
  "energy_ev_per_atom": -3.4895,
  "raw_formation_energy_ev_per_atom": -0.766,
  "vol_a3_per_atom": 39.63,
  "dos_at_fermi_per_ev_cell": 0.7,
  "lattice": [[-5.848, 1.847, -5.515], [0.770, -7.506, -3.330], [-6.611, -4.861, -0.785]],
  "species": ["I", "I", "I", "I", "I", "I", "Hf", "Rb", "Rb", "Pt"],
  "fractional_positions": [[0.252, 0.252, 0.497], [0.748, 0.748, 0.503], [0.252, 0.252, 0.000], [0.748, 0.748, 0.000], [0.748, 0.252, 0.000], [0.252, 0.748, 0.000], [0.500, 0.500, 0.000], [0.750, 0.250, 0.500], [0.250, 0.750, 0.500], [0.000, 0.000, 0.000]]
}